Density functional theory data (PBE) for an optimized crystal structure of Pr2DyGa3Pd4.

```
data_Pr2DyGa3Pd4
_cell_length_a 4.322
_cell_length_b 4.322
_cell_length_c 11.273
_cell_angle_alpha 90.00
_cell_angle_beta 90.00
_cell_angle_gamma 90.00
_symmetry_space_group_name_H-M 'P 1'
_symmetry_Int_Tables_number 1
_symmetry_space_group_name_Hall 'P 1'
loop_
_atom_site_label
_atom_site_type_symbol
_atom_site_fract_x
_atom_site_fract_y
_atom_site_fract_z
Pr1 Pr 0.000 0.500 0.227
Pr2 Pr 0.500 0.000 0.773
Dy1 Dy 0.000 0.000 0.500
Ga1 Ga 0.000 0.500 0.880
Ga2 Ga 0.500 0.000 0.120
Ga3 Ga 0.500 0.500 0.500
Pd1 Pd 0.000 0.000 0.000
Pd2 Pd 0.000 0.500 0.656
Pd3 Pd 0.500 0.000 0.344
Pd4 Pd 0.500 0.500 0.000
```

## Properties
SG ... P-4m2 (115)
Total energy ... -5.196 eV/atom
Total magnetic moment ... 0.0000 μB per atom